Entry 1:
A plane-wave DFT calculation with PBE was carried out for Ac2TlZn4In3 after structural relaxation.

Calculated values
- VASP energy: -27.2 eV for the cell shown
- Calculated formation energy: -0.326 eV/atom

```
data_Ac2TlZn4In3
_cell_length_a 4.6773
_cell_length_b 4.6773
_cell_length_c 11.3497
_cell_angle_alpha 90.00
_cell_angle_beta 90.00
_cell_angle_gamma 90.00
_space_group_name_H-M_alt 'P -4 m 2'
_space_group_IT_number 115
_space_group_name_Hall 'P -4 -2'
loop_
_atom_site_label
_atom_site_fract_x
_atom_site_fract_y
_atom_site_fract_z
Ac1 0.0000 0.5000 0.2402
Tl1 0.0000 0.0000 0.5000
Zn1 0.0000 0.0000 0.0000
Zn2 0.0000 0.5000 0.6419
Zn3 0.5000 0.5000 0.0000
In1 0.0000 0.5000 0.8736
In2 0.5000 0.5000 0.5000
```

Entry 2:
A plane-wave DFT calculation with PBE was carried out for Pa2SiPt6 after structural relaxation.

Calculated values
- VASP energy: -69.2 eV for the cell shown
- Formation energy without anion corrections: -21.9 kcal/mol of atoms

```
data_Pa2SiPt6
_cell_length_a 5.6766
_cell_length_b 5.6766
_cell_length_c 5.8402
_cell_angle_alpha 90.00
_cell_angle_beta 90.00
_cell_angle_gamma 120.00
_space_group_name_H-M_alt 'P -3 m 1'
_space_group_IT_number 164
_space_group_name_Hall '-P 3 2"'
loop_
_atom_site_label
_atom_site_fract_x
_atom_site_fract_y
_atom_site_fract_z
Pa1 0.3333 0.6667 0.3335
Si1 0.0000 0.0000 0.5000
Pt1 0.1718 0.3437 0.8033
```

Number 1: D(E_F) 3.6 states/eV/cell, mass density 8.46 Mg/m³, M_tot 0.000 μB per formula unit. Number 2: D(E_F) 10.7 states/eV/cell, mass density 16.92 Mg/m³, M_tot 0.000 μB per formula unit.